1.
# PBE KCaNb2, optimized geometry
# Final energy = -4.04 eV per atom
# Energy relative to the lowest polymorph listed for this composition = 0.494 eV/atom
# E_form = 171 kJ/mol of atoms
data_KCaNb2
_cell_length_a 7.550
_cell_length_b 7.550
_cell_length_c 7.550
_cell_angle_alpha 90.00
_cell_angle_beta 90.00
_cell_angle_gamma 90.00
_space_group_name_H-M_alt 'F m -3 m'
_space_group_IT_number 225
_space_group_name_Hall '-F 4 2 3'
loop_
_atom_site_label
_atom_site_type_symbol
_atom_site_fract_x
_atom_site_fract_y
_atom_site_fract_z
_atom_site_occupancy
K1 K 0.000 0.000 0.000 1
Ca1 Ca 0.000 0.000 0.500 1
Nb1 Nb 0.250 0.250 0.250 1

***

2.
# PBE KCaNb2, optimized geometry
# Final energy = -4.53 eV per atom
# Energy relative to the lowest polymorph listed for this composition = 0.000 eV/atom
# E_form = 123 kJ/mol of atoms
data_KCaNb2
_cell_length_a 4.055
_cell_length_b 4.055
_cell_length_c 24.125
_cell_angle_alpha 90.00
_cell_angle_beta 90.00
_cell_angle_gamma 90.00
_space_group_name_H-M_alt 'I -4 2 d'
_space_group_IT_number 122
_space_group_name_Hall 'I -4 2bw'
loop_
_atom_site_label
_atom_site_type_symbol
_atom_site_fract_x
_atom_site_fract_y
_atom_site_fract_z
_atom_site_occupancy
K1 K 0.000 0.000 0.000 1
Ca1 Ca 0.000 0.000 0.500 1
Nb1 Nb 0.241 0.250 0.625 1

***

3.
# PBE KCa2Nb, optimized geometry
# Final energy = -2.96 eV per atom
# Energy relative to the lowest polymorph listed for this composition = 0.000 eV/atom
# E_form = 81 kJ/mol of atoms
data_KCa2Nb
_cell_length_a 8.293
_cell_length_b 8.293
_cell_length_c 8.293
_cell_angle_alpha 90.00
_cell_angle_beta 90.00
_cell_angle_gamma 90.00
_space_group_name_H-M_alt 'F m -3 m'
_space_group_IT_number 225
_space_group_name_Hall '-F 4 2 3'
loop_
_atom_site_label
_atom_site_type_symbol
_atom_site_fract_x
_atom_site_fract_y
_atom_site_fract_z
_atom_site_occupancy
K1 K 0.000 0.000 0.000 1
Ca1 Ca 0.250 0.250 0.250 1
Nb1 Nb 0.000 0.000 0.500 1

***

4.
# PBE K3CaNb, optimized geometry
# Final energy = -1.54 eV per atom
# Energy relative to the lowest polymorph listed for this composition = 0.371 eV/atom
# E_form = 148 kJ/mol of atoms
data_K3CaNb
_cell_length_a 7.073
_cell_length_b 7.073
_cell_length_c 7.073
_cell_angle_alpha 90.00
_cell_angle_beta 90.00
_cell_angle_gamma 90.00
_space_group_name_H-M_alt 'P m -3 m'
_space_group_IT_number 221
_space_group_name_Hall '-P 4 2 3'
loop_
_atom_site_label
_atom_site_type_symbol
_atom_site_fract_x
_atom_site_fract_y
_atom_site_fract_z
_atom_site_occupancy
K1 K 0.000 0.000 0.500 1
Ca1 Ca 0.000 0.000 0.000 1
Nb1 Nb 0.500 0.500 0.500 1

***

5.
# PBE KCaNb3, optimized geometry
# Final energy = -4.27 eV per atom
# Energy relative to the lowest polymorph listed for this composition = 0.000 eV/atom
# E_form = 230 kJ/mol of atoms
data_KCaNb3
_cell_length_a 4.854
_cell_length_b 4.854
_cell_length_c 4.854
_cell_angle_alpha 90.00
_cell_angle_beta 90.00
_cell_angle_gamma 90.00
_space_group_name_H-M_alt 'P m -3 m'
_space_group_IT_number 221
_space_group_name_Hall '-P 4 2 3'
loop_
_atom_site_label
_atom_site_type_symbol
_atom_site_fract_x
_atom_site_fract_y
_atom_site_fract_z
_atom_site_occupancy
K1 K 0.000 0.000 0.000 1
Ca1 Ca 0.500 0.500 0.500 1
Nb1 Nb 0.000 0.000 0.500 1

***

6.
# PBE K3CaNb, optimized geometry
# Final energy = -1.91 eV per atom
# Energy relative to the lowest polymorph listed for this composition = 0.000 eV/atom
# E_form = 112 kJ/mol of atoms
data_K3CaNb
_cell_length_a 6.735
_cell_length_b 6.735
_cell_length_c 6.735
_cell_angle_alpha 90.00
_cell_angle_beta 90.00
_cell_angle_gamma 90.00
_space_group_name_H-M_alt 'P m -3 m'
_space_group_IT_number 221
_space_group_name_Hall '-P 4 2 3'
loop_
_atom_site_label
_atom_site_type_symbol
_atom_site_fract_x
_atom_site_fract_y
_atom_site_fract_z
_atom_site_occupancy
K1 K 0.000 0.000 0.500 1
Ca1 Ca 0.500 0.500 0.500 1
Nb1 Nb 0.000 0.000 0.000 1

***

7.
# PBE KCa2Nb, optimized geometry
# Final energy = -2.74 eV per atom
# Energy relative to the lowest polymorph listed for this composition = 0.214 eV/atom
# E_form = 101 kJ/mol of atoms
data_KCa2Nb
_cell_length_a 9.267
_cell_length_b 9.267
_cell_length_c 7.391
_cell_angle_alpha 90.00
_cell_angle_beta 90.00
_cell_angle_gamma 90.00
_space_group_name_H-M_alt 'I -4 2 d'
_space_group_IT_number 122
_space_group_name_Hall 'I -4 2bw'
loop_
_atom_site_label
_atom_site_type_symbol
_atom_site_fract_x
_atom_site_fract_y
_atom_site_fract_z
_atom_site_occupancy
K1 K 0.000 0.000 0.000 1
Ca1 Ca 0.211 0.250 0.625 1
Nb1 Nb 0.000 0.000 0.500 1

***

8.
# PBE KCa3Nb, optimized geometry
# Final energy = -2.71 eV per atom
# Energy relative to the lowest polymorph listed for this composition = 0.000 eV/atom
# E_form = 70 kJ/mol of atoms
data_KCa3Nb
_cell_length_a 5.833
_cell_length_b 5.833
_cell_length_c 5.833
_cell_angle_alpha 90.00
_cell_angle_beta 90.00
_cell_angle_gamma 90.00
_space_group_name_H-M_alt 'P m -3 m'
_space_group_IT_number 221
_space_group_name_Hall '-P 4 2 3'
loop_
_atom_site_label
_atom_site_type_symbol
_atom_site_fract_x
_atom_site_fract_y
_atom_site_fract_z
_atom_site_occupancy
K1 K 0.000 0.000 0.000 1
Ca1 Ca 0.000 0.500 0.500 1
Nb1 Nb 0.500 0.500 0.500 1

***

9.
# PBE K3CaNb2O8, optimized geometry
# Final energy = -6.95 eV per atom
# Formation energy from raw total energies = -2296 meV per atom
data_K3CaNb2O8
_cell_length_a 6.2180
_cell_length_b 6.2180
_cell_length_c 7.8428
_cell_angle_alpha 90.00
_cell_angle_beta 90.00
_cell_angle_gamma 120.00
_space_group_name_H-M_alt 'P -3 m 1'
_space_group_IT_number 164
_space_group_name_Hall '-P 3 2"'
loop_
_atom_site_label
_atom_site_type_symbol
_atom_site_fract_x
_atom_site_fract_y
_atom_site_fract_z
_atom_site_occupancy
K1 K 0.0000 0.0000 0.0000 1
K2 K 0.3333 0.6667 0.6620 1
Ca1 Ca 0.0000 0.0000 0.5000 1
Nb1 Nb 0.3333 0.6667 0.2248 1
O1 O 0.1715 0.3429 0.3144 1
O2 O 0.3333 0.6667 0.9865 1

***

10.
# PBE K2CaNbO4, optimized geometry
# Final energy = -6.48 eV per atom
# Formation energy from raw total energies = -2215 meV per atom
data_K2CaNbO4
_cell_length_a 6.170
_cell_length_b 6.170
_cell_length_c 8.039
_cell_angle_alpha 90.00
_cell_angle_beta 90.00
_cell_angle_gamma 90.00
_space_group_name_H-M_alt 'I -4'
_space_group_IT_number 82
loop_
_space_group_symop_operation_xyz
'x,y,z'
'y,-x,-z'
'-x,-y,z'
'-y,x,-z'
'x+1/2,y+1/2,z+1/2'
'y+1/2,-x+1/2,-z+1/2'
'-x+1/2,-y+1/2,z+1/2'
'-y+1/2,x+1/2,-z+1/2'
loop_
_atom_site_label
_atom_site_type_symbol
_atom_site_fract_x
_atom_site_fract_y
_atom_site_fract_z
_atom_site_occupancy
K1 K 0.000 0.000 0.000 1
K2 K 0.000 0.500 0.250 1
Ca1 Ca 0.000 0.000 0.500 1
Nb1 Nb 0.000 0.500 0.750 1
O1 O 0.162 0.739 0.653 1